A plane-wave DFT calculation with meta-GGA SCAN was carried out for a crystal of Cs2RbLaCl6 relaxed with PBEsol.

E_form (uncorrected) (eV per atom): -2.385
Magnetization (μB per formula unit): 0.000

Cell: 8.208 8.208 8.208 Å, 60.00 60.00 60.00°
Atoms (fractional coordinates):
Cl  0.236  0.764  0.764
Cs  0.250  0.250  0.250
La  0.000  0.000  0.000
Cl  0.764  0.236  0.764
Cs  0.750  0.750  0.750
Cl  0.764  0.764  0.236
Cl  0.236  0.764  0.236
Rb  0.500  0.500  0.500
Cl  0.236  0.236  0.764
Cl  0.764  0.236  0.236